Entry 1:
Density functional theory data (PBE) for crystalline Lu2PuPd at its relaxed geometry.

The structure belongs to space group R-3m (No. 166, hexagonal axes); the cell edges are 3.4582, 3.4582 and 29.3616 Å and the angles 90.00°, 90.00° and 120.00°. The asymmetric unit holds Lu at (0.0000, 0.0000, 0.2357), Pu at (0.0000, 0.0000, 0.0000) and Pd at (0.0000, 0.0000, 0.5000).

For the total magnetization, the calculation gives 6.2 μB per formula unit. The calculation puts the total DFT energy (no corrections) at -88.4 eV/cell. Its formation energy from the elements is -225 meV/atom. Its energy above the most stable polymorph in this dataset is 172 meV/atom.


Entry 2:
Density functional theory data (PBE) for crystalline AcSm2Ho at its relaxed geometry.

The structure belongs to space group R-3m (No. 166, hexagonal axes); the cell edges are 3.6153, 3.6153 and 38.4469 Å and the angles 90.00°, 90.00° and 120.00°. The asymmetric unit holds Ac at (0.0000, 0.0000, 0.0000), Sm at (0.0000, 0.0000, 0.0927) and Ho at (0.0000, 0.0000, 0.5000).

For the total magnetization, the calculation gives 0.0 μB per formula unit. The calculation puts the total DFT energy (no corrections) at -52.4 eV/cell. Its formation energy from the elements is 169 meV/atom. Its energy above the most stable polymorph in this dataset is 126 meV/atom.


Entry 3:
Density functional theory data (PBE) for crystalline Ta2CuTe at its relaxed geometry.

The structure belongs to space group I-42d (No. 122); the cell edges are 5.497, 5.497 and 13.275 Å and the angles 90.00°, 90.00° and 90.00°. The asymmetric unit holds Ta at (0.178, 0.250, 0.125), Cu at (0.000, 0.000, 0.000) and Te at (0.000, 0.000, 0.500).

For the total magnetization, the calculation gives 0.0 μB per formula unit. The calculation puts the uncorrected formation energy at 1.146 eV/atom. The calculation puts the total DFT energy (no corrections) at -105.4 eV/cell.


Entry 4:
Density functional theory data (PBE) for crystalline KBa2NpO5 at its relaxed geometry.

The structure belongs to space group Immm (No. 71); the cell edges are 4.378, 6.600 and 12.481 Å and the angles 90.00°, 90.00° and 90.00°. The asymmetric unit holds K at (0.000, 0.000, 0.000), Ba at (0.000, 0.500, 0.223), Np at (0.000, 0.000, 0.500), O at (0.000, 0.217, 0.372) and O at (0.000, 0.500, 0.000).

For the total magnetization, the calculation gives 2.0 μB per formula unit. The calculation puts the uncorrected formation energy at -2.639 eV/atom. The calculation puts the total DFT energy (no corrections) at -132.9 eV/cell.


Entry 5:
Density functional theory data (PBE) for crystalline RbCd2Hg6 at its relaxed geometry.

The structure belongs to space group Fd-3m (No. 227, origin choice 2); the cell edges are 14.185, 14.185 and 14.185 Å and the angles 90.00°, 90.00° and 90.00°. The asymmetric unit holds Rb at (0.125, 0.125, 0.125), Cd at (0.000, 0.000, 0.500) and Hg at (0.121, 0.375, 0.875).

For the total magnetization, the calculation gives 0.0 μB per formula unit. The calculation puts the total DFT energy (no corrections) at -34.9 eV/cell. Its formation energy from the elements is 27 meV/atom. Its energy above the most stable polymorph in this dataset is 114 meV/atom.


Entry 6:
Density functional theory data (PBE) for crystalline BaInBi2Te at its relaxed geometry.

The structure belongs to space group P4/mmm (No. 123); the cell edges are 5.791, 5.791 and 5.919 Å and the angles 90.00°, 90.00° and 90.00°. The asymmetric unit holds Ba at (0.000, 0.000, 0.000), In at (0.500, 0.500, 0.500), Bi at (0.000, 0.500, 0.500) and Te at (0.500, 0.500, 0.000).

For the total magnetization, the calculation gives 0.0 μB per formula unit. The calculation puts the uncorrected formation energy at -0.145 eV/atom. The calculation puts the total DFT energy (no corrections) at -16.3 eV/cell. Its energy above the most stable polymorph in this dataset is 0 meV/atom.


Entry 7:
Density functional theory data (PBE) for crystalline SrSiPt2 at its relaxed geometry.

The structure belongs to space group P4/mmm (No. 123); the cell edges are 4.550, 4.550 and 3.703 Å and the angles 90.00°, 90.00° and 90.00°. The asymmetric unit holds Sr at (0.000, 0.000, 0.000), Si at (0.500, 0.500, 0.000) and Pt at (0.000, 0.500, 0.500).

For the total magnetization, the calculation gives 0.0 μB per formula unit. The calculation puts the uncorrected formation energy at -0.223 eV/atom. The calculation puts the total DFT energy (no corrections) at -20.1 eV/cell.


Entry 8:
Density functional theory data (PBE) for crystalline MnZnPd at its relaxed geometry.

The structure belongs to space group P3m1 (No. 156); the cell edges are 4.3002, 4.3002 and 2.7680 Å and the angles 90.00°, 90.00° and 120.00°. The asymmetric unit holds Mn at (0.0000, 0.0000, 0.0000), Zn at (0.3333, 0.6667, 0.3690) and Pd at (0.6667, 0.3333, 0.6392).

For the total magnetization, the calculation gives 4.0 μB per formula unit. The calculation puts the total DFT energy (no corrections) at -16.1 eV/cell. Its formation energy from the elements is -160 meV/atom.


Entry 9:
Density functional theory data (PBE) for crystalline CdAg2Hg at its relaxed geometry.

The structure belongs to space group Pmmm (No. 47); the cell edges are 4.226, 4.237 and 4.405 Å and the angles 90.00°, 90.00° and 90.00°. The asymmetric unit holds Cd at (0.000, 0.000, 0.000), Ag at (0.000, 0.500, 0.500), Ag at (0.500, 0.500, 0.000) and Hg at (0.500, 0.000, 0.500).

For the total magnetization, the calculation gives 0.0 μB per formula unit. The calculation puts the total DFT energy (no corrections) at -6.9 eV/cell. Its formation energy from the elements is 16 meV/atom. Its energy above the most stable polymorph in this dataset is 9 meV/atom.


Entry 10:
Density functional theory data (PBE) for crystalline PmErSnRu at its relaxed geometry.

The structure belongs to space group F-43m (No. 216); the cell edges are 7.239, 7.239 and 7.239 Å and the angles 90.00°, 90.00° and 90.00°. The asymmetric unit holds Pm at (0.000, 0.000, 0.000), Er at (0.000, 0.000, 0.500), Sn at (0.250, 0.250, 0.750) and Ru at (0.250, 0.250, 0.250).

For the total magnetization, the calculation gives 0.0 μB per formula unit. The calculation puts the total DFT energy (no corrections) at -96.2 eV/cell. Its formation energy from the elements is -363 meV/atom.